# 1
The following is a SCAN calculation of a PBEsol-optimized structure of CaIr2Pb, from Alexandria via LeMat-Bulk.

The space-group type is Cmmm (65). The calculated formation energy is 0.15 eV/atom.

a b c (Å): 3.2242 4.7638 4.7638
angles (deg): 97.53 90.00 90.00
Fractional coordinates of all 4 atoms:
Pb 0.5000 0.0000 0.0000
Ca 0.5000 0.5000 0.5000
Ir 0.0000 0.5000 0.0000
Ir 0.0000 0.0000 0.5000


# 2
The following is a SCAN calculation of a PBEsol-optimized structure of CaIr2Pb, from Alexandria via LeMat-Bulk.

The space-group type is P4/mmm (123). The calculated formation energy is 0.22 eV/atom.

a b c (Å): 3.2161 3.2161 7.2594
angles (deg): 90.00 90.00 90.00
Fractional coordinates of all 4 atoms:
Pb 0.5000 0.5000 0.0000
Ca 0.5000 0.5000 0.5000
Ir 0.0000 0.0000 0.7729
Ir 0.0000 0.0000 0.2271